1.
Computed, not measured: a relaxed structure of Sr2FeCo at the PBE level of DFT.

Calculated values
E_form	0.85	eV per atom

CIF file:
```
data_Sr2FeCo
_symmetry_space_group_name_H-M 'P 1'
_symmetry_Int_Tables_number 1
_cell_length_a 5.0908
_cell_length_b 5.0908
_cell_length_c 5.0908
_cell_angle_alpha 60.00
_cell_angle_beta 60.00
_cell_angle_gamma 60.00
loop_
_symmetry_equiv_pos_as_xyz
'x,y,z'
loop_
_atom_site_label
_atom_site_type_symbol
_atom_site_fract_x
_atom_site_fract_y
_atom_site_fract_z
_atom_site_occupancy
Sr1 Sr 0.0000 0.0000 0.0000 1
Sr2 Sr 0.2500 0.2500 0.2500 1
Fe1 Fe 0.7500 0.7500 0.7500 1
Co1 Co 0.5000 0.5000 0.5000 1
```

=====

2.
Computed, not measured: a relaxed structure of CaYPd2 at the PBE level of DFT.

Calculated values
E_form	0.22	eV per atom

CIF file:
```
data_CaYPd2
_symmetry_space_group_name_H-M 'P 1'
_symmetry_Int_Tables_number 1
_cell_length_a 6.1936
_cell_length_b 6.1936
_cell_length_c 6.1936
_cell_angle_alpha 150.14
_cell_angle_beta 126.29
_cell_angle_gamma 62.67
loop_
_symmetry_equiv_pos_as_xyz
'x,y,z'
loop_
_atom_site_label
_atom_site_type_symbol
_atom_site_fract_x
_atom_site_fract_y
_atom_site_fract_z
_atom_site_occupancy
Ca1 Ca 0.0000 0.0000 0.0000 1
Y1 Y 0.5000 0.5000 0.0000 1
Pd1 Pd 0.2523 0.2523 0.0000 1
Pd2 Pd 0.7477 0.7477 0.0000 1
```

=====

no.,density (g/cm3),total energy (eV/cell)
1,5.2,-15.52
2,6.0,-17.97